(1)
Below is a relaxed structure of Ac3HfZn2O9, with properties calculated at the PBE-GGA level.

Properties
The total magnetization is 0.1 Bohr magnetons per cell. For the uncorrected formation energy, the calculation gives -2696 meV per atom.

Lattice parameters (Å, degrees): 5.754 5.754 7.121 90.00 90.00 120.00
Positions (direct):
Ac 0.000 0.000 0.000
Ac 0.333 0.667 0.702
Ac 0.667 0.333 0.298
Hf 0.000 0.000 0.500
Zn 0.333 0.667 0.172
Zn 0.667 0.333 0.828
O 0.000 0.500 0.000
O 0.164 0.328 0.328
O 0.164 0.836 0.328
O 0.328 0.164 0.672
O 0.500 0.000 0.000
O 0.500 0.500 0.000
O 0.672 0.836 0.328
O 0.836 0.164 0.672
O 0.836 0.672 0.672

(2)
Below is a relaxed structure of AcHfZr2O8, with properties calculated at the PBE-GGA level.

Properties
The total magnetization is 0.7 Bohr magnetons per cell. For the uncorrected formation energy, the calculation gives -3114 meV per atom.

Lattice parameters (Å, degrees): 5.003 5.003 7.040 90.00 90.00 91.15
Positions (direct):
Ac 0.000 0.000 0.000
Hf 0.000 0.000 0.500
Zr 0.500 0.500 0.269
Zr 0.500 0.500 0.731
O 0.203 0.203 0.286
O 0.203 0.203 0.714
O 0.303 0.697 0.500
O 0.337 0.663 0.000
O 0.663 0.337 0.000
O 0.697 0.303 0.500
O 0.797 0.797 0.286
O 0.797 0.797 0.714

no.,raw total energy (eV/atom)
1,-7.33
2,-9.02